VASP calculation (PBE-GGA) on a geometry-optimized Ca2ReMo structure.

a = 4.403 Å, b = 4.403 Å, c = 7.798 Å
α = 85.11°, β = 85.11°, γ = 44.00°
Fractional positions:
Ca  0.765  0.765  0.677
Ca  0.981  0.981  0.074
Mo  0.519  0.519  0.429
Re  0.234  0.234  0.320

Properties
Formation energy in eV/atom: 0.4931
E above lowest polymorph in meV per atom: 170
Total DFT energy (no corrections) in eV/atom: -6.33